A plane-wave DFT calculation with PBE was carried out for a geometry-optimized Tb3SmDy2P6 structure.

Lattice parameters (Å, degrees): 6.987 6.987 6.989 99.58 99.58 119.99
Fractional coordinates of all 12 atoms:
Dy1 0.333 0.667 0.000
Tb1 0.834 0.166 0.500
P1 0.253 0.253 0.750
P2 0.084 0.420 0.251
P3 0.916 0.580 0.749
P4 0.580 0.916 0.749
Tb2 0.166 0.834 0.500
Tb3 0.500 0.500 0.500
P5 0.747 0.747 0.250
Sm1 0.000 0.000 0.000
Dy2 0.667 0.333 0.000
P6 0.420 0.084 0.251

Output
ΔE_f ... -1857.4 kJ/mol of formula units
Magnetization ... 0.0 μB/f.u.